No. 1
ScCoBr2: single point on PBEsol structure, meta-GGA SCAN.

abc: 4.750 4.750 4.750
angles: 60.00 60.00 60.00
Site moments in Bohr magnetons follow the coordinates.
Atoms (fractional coordinates):
Sc: 0.250 0.250 0.250  -0.16
Br: 0.750 0.750 0.750  0.06
Br: 0.000 0.000 0.000  0.05
Co: 0.500 0.500 0.500  2.01

Computed properties:
For the energy above the most stable polymorph in this dataset, the calculation gives 763 meV per atom. As for the calculated volume: 18.94 Å³/atom. As for the space group: F-43m, No. 216.



No. 2
Ru3IO: single point on PBEsol structure, meta-GGA SCAN.

abc: 4.782 4.782 4.782
angles: 90.00 90.00 90.00
Site moments in Bohr magnetons follow the coordinates.
Atoms (fractional coordinates):
Ru: 0.500 0.000 0.000  1.70
Ru: 0.000 0.500 0.000  1.70
I: 0.000 0.000 0.000  -0.01
O: 0.500 0.500 0.500  1.17
Ru: 0.000 0.000 0.500  1.70

Computed properties:
For the total energy, the calculation gives -135.64 eV for the cell shown. As for the calculated volume: 21.87 Å³/atom. As for the space group: Pm-3m, No. 221.



No. 3
InMoAs2Se: single point on PBEsol structure, meta-GGA SCAN.

abc: 5.029 5.029 5.135
angles: 90.00 90.00 90.00
Site moments in Bohr magnetons follow the coordinates.
Atoms (fractional coordinates):
Mo: 0.500 0.500 0.500  3.85
In: 0.000 0.000 0.000  0.01
As: 0.000 0.500 0.000  -0.33
As: 0.500 0.000 0.000  -0.33
Se: 0.000 0.000 0.500  -0.24

Computed properties:
For the total energy, the calculation gives -122.34 eV for the cell shown. As for the calculated volume: 25.97 Å³/atom. As for the space group: P4/mmm, No. 123.



No. 4
Tl2TeBr: single point on PBEsol structure, meta-GGA SCAN.

abc: 3.611 3.611 9.662
angles: 90.00 90.00 90.00
Atoms (fractional coordinates):
Tl: 0.000 0.000 0.989
Te: 0.500 0.500 0.776
Tl: 0.500 0.500 0.282
Br: 0.000 0.000 0.453

Computed properties:
For the energy above the most stable polymorph in this dataset, the calculation gives 149 meV per atom. As for the calculated volume: 31.49 Å³/atom. As for the space group: P4mm, No. 99.



No. 5
ScTc2W: single point on PBEsol structure, meta-GGA SCAN.

abc: 3.122 3.122 6.387
angles: 90.00 90.00 90.00
Atoms (fractional coordinates):
Tc: 0.000 0.000 0.233
W: 0.500 0.500 0.000
Tc: 0.000 0.000 0.767
Sc: 0.500 0.500 0.500

Computed properties:
The calculated formation energy is -262 meV per atom. For the energy above the most stable polymorph in this dataset, the calculation gives 14 meV per atom. As for the calculated volume: 15.56 Å³/atom. As for the space group: P4/mmm, No. 123.



No. 6
Ta2HgPb: single point on PBEsol structure, meta-GGA SCAN.

abc: 3.511 4.703 4.758
angles: 90.00 90.00 90.00
Atoms (fractional coordinates):
Hg: 0.500 0.500 0.000
Pb: 0.000 0.500 0.500
Ta: 0.000 0.000 0.000
Ta: 0.500 0.000 0.500

Computed properties:
The calculated formation energy is 480 meV per atom. For the energy above the most stable polymorph in this dataset, the calculation gives 51 meV per atom. As for the calculated volume: 19.64 Å³/atom. As for the space group: Pmmm, No. 47.



No. 7
Tl2GaSn2: single point on PBEsol structure, meta-GGA SCAN.

abc: 5.169 7.261 7.261
angles: 90.00 90.00 90.00
Atoms (fractional coordinates):
Tl: 0.500 0.829 0.329
Tl: 0.500 0.671 0.829
Sn: 0.000 0.857 0.643
Sn: 0.000 0.643 0.143
Sn: 0.000 0.357 0.857
Sn: 0.000 0.143 0.357
Ga: 0.000 0.500 0.500
Tl: 0.500 0.329 0.171
Tl: 0.500 0.171 0.671
Ga: 0.000 0.000 0.000

Computed properties:
The calculated formation energy is 127 meV per atom. As for the calculated volume: 27.25 Å³/atom. As for the space group: P4/mbm, No. 127.



No. 8
Li2Cu: single point on PBEsol structure, meta-GGA SCAN.

abc: 4.785 4.785 4.785
angles: 60.00 60.00 60.00
Atoms (fractional coordinates):
Li: 0.625 0.125 0.125
Li: 0.125 0.125 0.125
Li: 0.125 0.625 0.125
Cu: 0.500 0.500 0.500
Cu: 0.750 0.750 0.750
Li: 0.125 0.125 0.625

Computed properties:
The calculated formation energy is 235 meV per atom. As for the calculated volume: 12.91 Å³/atom. As for the space group: Fd-3m, No. 227.